Ti2CuAsBr after structural relaxation. Source: Alexandria via LeMat-Bulk, functional PBE.

Computed properties:
As for the density: 4.7 g cm⁻³. The raw total energy comes out at -21.4 eV for the cell shown. The space group is No. 123. The energy relative to the elements, uncorrected is 964 meV/atom.

Cell and atoms, written as CIF:
```
data_Ti2CuAsBr
_chemical_formula_sum 'Ti2 Cu1 As1 Br1'
_space_group_name_H-M_alt 'P 1'
_space_group_IT_number 1
_space_group_name_Hall 'P 1'
_cell_length_a 4.6266
_cell_length_b 5.1892
_cell_length_c 4.6266
_cell_angle_alpha 90.00
_cell_angle_beta 90.00
_cell_angle_gamma 90.00
loop_
_atom_site_label
_atom_site_type_symbol
_atom_site_fract_x
_atom_site_fract_y
_atom_site_fract_z
Cu1 Cu 0.5000 0.5000 0.5000
Br1 Br 0.0000 0.0000 0.0000
Ti1 Ti 0.5000 0.0000 0.0000
Ti2 Ti 0.0000 0.0000 0.5000
As1 As 0.0000 0.5000 0.0000
```